# 1
{
  "formula": "Y2TeOs",
  "functional": "PBE-GGA",
  "state": "relaxed",
  "lattice": [[3.5564, 0.0000, 0.0000], [0.0000, 3.5610, 0.0080], [0.0000, 3.5499, 7.5557]],
  "species": ["Y", "Y", "Te", "Os"],
  "frac_coords": [[0.0000, 0.9690, 0.0310], [0.0000, 0.5310, 0.4690], [0.5000, 0.7500, 0.7500], [0.5000, 0.2500, 0.2500]],
  "dos_at_fermi_per_ev_atom": 0.25,
  "formation_energy_uncorrected_ev_per_atom": -0.592,
  "total_energy_ev_per_atom": -7.42,
  "magnetic_moment_mub_per_fu": 0.0
}

# 2
{
  "formula": "NpInGe2Rh5",
  "functional": "PBE-GGA",
  "state": "relaxed",
  "lattice": [[4.1897, 0.0000, 0.0000], [0.0000, 4.1897, 0.0000], [0.0000, 0.0000, 8.7929]],
  "species": ["Ge", "Ge", "Rh", "Rh", "Rh", "Rh", "Rh", "In", "Np"],
  "frac_coords": [[0.5000, 0.5000, 0.1383], [0.5000, 0.5000, 0.8617], [0.5000, 0.0000, 0.2784], [0.5000, 0.5000, 0.5000], [0.5000, 0.0000, 0.7216], [0.0000, 0.5000, 0.2784], [0.0000, 0.5000, 0.7216], [0.0000, 0.0000, 0.0000], [0.0000, 0.0000, 0.5000]],
  "dos_at_fermi_per_ev_atom": 1.59,
  "total_energy_ev_per_atom": -7.18,
  "e_form_kj_per_mol_atoms": -32,
  "magnetic_moment_mub_per_fu": 1.7
}

# 3
{
  "formula": "InGa3Co",
  "functional": "PBE-GGA",
  "state": "relaxed",
  "lattice": [[4.6359, 0.0000, 0.0000], [0.0000, 4.6359, 0.0000], [0.0000, 0.0000, 4.6359]],
  "species": ["Ga", "Ga", "Ga", "Co", "In"],
  "frac_coords": [[0.0000, 0.5000, 0.0000], [0.0000, 0.0000, 0.5000], [0.5000, 0.0000, 0.0000], [0.0000, 0.0000, 0.0000], [0.5000, 0.5000, 0.5000]],
  "dos_at_fermi_per_ev_atom": 0.50,
  "total_energy_ev_per_atom": -3.84,
  "e_form_kj_per_mol_atoms": -6,
  "magnetic_moment_mub_per_fu": 0.0,
  "e_above_lowest_polymorph_ev_per_atom": 0.000
}

# 4
{
  "formula": "Th4Mg5Tl6",
  "functional": "PBE-GGA",
  "state": "relaxed",
  "lattice": [[-2.1023, 4.1866, 1.0836], [-3.8936, -6.6862, 7.6097], [12.6053, 3.7971, 9.7859]],
  "species": ["Th", "Th", "Th", "Th", "Th", "Th", "Th", "Th", "Tl", "Tl", "Tl", "Tl", "Tl", "Tl", "Tl", "Tl", "Tl", "Tl", "Tl", "Tl", "Mg", "Mg", "Mg", "Mg", "Mg", "Mg", "Mg", "Mg", "Mg", "Mg"],
  "frac_coords": [[0.9635, 0.9270, 0.2691], [0.0365, 0.0730, 0.7691], [0.0264, 0.0528, 0.4993], [0.8422, 0.6843, 0.7984], [0.1578, 0.3157, 0.2984], [0.8266, 0.6533, 0.4441], [0.1734, 0.3467, 0.9441], [0.9736, 0.9472, 0.9993], [0.2402, 0.4804, 0.7703], [0.4261, 0.8522, 0.1309], [0.7723, 0.5446, 0.9734], [0.5600, 0.1199, 0.3547], [0.2277, 0.4554, 0.4734], [0.4400, 0.8801, 0.8547], [0.4274, 0.8549, 0.4206], [0.8973, 0.7946, 0.6145], [0.1027, 0.2054, 0.1145], [0.5739, 0.1478, 0.6309], [0.5726, 0.1451, 0.9206], [0.7598, 0.5196, 0.2703], [0.3093, 0.6185, 0.6170], [0.6550, 0.3100, 0.4803], [0.3450, 0.6900, 0.9803], [0.6637, 0.3273, 0.7768], [0.8420, 0.6840, 0.1275], [0.1580, 0.3160, 0.6275], [0.6907, 0.3815, 0.1170], [0.5556, 0.1113, 0.1785], [0.3363, 0.6727, 0.2768], [0.4444, 0.8887, 0.6785]],
  "dos_at_fermi_per_ev_atom": 0.56,
  "total_energy_ev_per_atom": -3.54,
  "e_form_kj_per_mol_atoms": -8,
  "magnetic_moment_mub_per_fu": 0.0
}